Record 1
# Ti3H2O7 (PBE-GGA, relaxed)
data_Ti3H2O7
_chemical_formula_sum 'Ti12 H8 O28'
_symmetry_space_group_name_H-M 'C 1 2/m 1'
_symmetry_Int_Tables_number 12
_cell_length_a 16.310
_cell_length_b 3.768
_cell_length_c 9.530
_cell_angle_alpha 90.00
_cell_angle_beta 99.74
_cell_angle_gamma 90.00
loop_
_symmetry_equiv_pos_as_xyz
'x,y,z'
'-x,-y,-z'
'-x,y,-z'
'x,-y,z'
'x+1/2,y+1/2,z'
'-x+1/2,-y+1/2,-z'
'-x+1/2,y+1/2,-z'
'x+1/2,-y+1/2,z'
loop_
_atom_site_label
_atom_site_type_symbol
_atom_site_fract_x
_atom_site_fract_y
_atom_site_fract_z
Ti1 Ti 0.125 0.000 0.344
Ti2 Ti 0.175 0.000 0.012
Ti3 Ti 0.229 0.000 0.714
H1 H 0.022 0.000 0.097
H2 H 0.041 0.000 0.703
O1 O 0.017 0.000 0.348
O2 O 0.082 0.000 0.109
O3 O 0.135 0.000 0.826
O4 O 0.155 0.500 0.327
O5 O 0.171 0.000 0.541
O6 O 0.207 0.500 0.043
O7 O 0.240 0.000 0.246
# **ρ**: 2964 kg/m³
# **Crystal system**: monoclinic
# **Distance to the lowest polymorph of the same formula**: 0.036 eV per atom
# **Size of the total moment**: 0.00 μB per formula unit

Record 2
# Ti3H2O4 (PBE-GGA, relaxed)
data_Ti3H2O4
_chemical_formula_sum 'Ti6 H4 O8'
_symmetry_space_group_name_H-M 'P -3 m 1'
_symmetry_Int_Tables_number 164
_symmetry_space_group_name_Hall '-P 3 2"'
_cell_length_a 3.0340
_cell_length_b 3.0340
_cell_length_c 23.3318
_cell_angle_alpha 90.00
_cell_angle_beta 90.00
_cell_angle_gamma 120.00
loop_
_atom_site_label
_atom_site_type_symbol
_atom_site_fract_x
_atom_site_fract_y
_atom_site_fract_z
Ti1 Ti 0.0000 0.0000 0.1463
Ti2 Ti 0.3333 0.6667 0.3537
Ti3 Ti 0.3333 0.6667 0.7500
H1 H 0.3333 0.6667 0.5519
H2 H 0.3333 0.6667 0.9481
O1 O 0.0000 0.0000 0.3010
O2 O 0.3333 0.6667 0.1990
O3 O 0.3333 0.6667 0.5945
O4 O 0.3333 0.6667 0.9055
# **ρ**: 3743 kg/m³
# **Crystal system**: trigonal
# **Electronic total energy**: -7.424 eV per atom
# **Size of the total moment**: 0.00 μB per formula unit

Record 3
# TiH2O2 (PBE-GGA, relaxed)
data_TiH2O2
_chemical_formula_sum 'Ti2 H4 O4'
_symmetry_space_group_name_H-M 'P n n m'
_symmetry_Int_Tables_number 58
_cell_length_a 4.856
_cell_length_b 5.759
_cell_length_c 3.037
_cell_angle_alpha 90.00
_cell_angle_beta 90.00
_cell_angle_gamma 90.00
loop_
_symmetry_equiv_pos_as_xyz
'x,y,z'
'-x,-y,-z'
'-x,-y,z'
'x,y,-z'
'x+1/2,-y+1/2,-z+1/2'
'-x+1/2,y+1/2,z+1/2'
'-x+1/2,y+1/2,-z+1/2'
'x+1/2,-y+1/2,z+1/2'
loop_
_atom_site_label
_atom_site_type_symbol
_atom_site_fract_x
_atom_site_fract_y
_atom_site_fract_z
Ti1 Ti 0.000 0.000 0.000
H1 H 0.018 0.343 0.500
O1 O 0.149 0.756 0.500
# **ρ**: 3202 kg/m³
# **Crystal system**: orthorhombic
# **Electronic total energy**: -6.246 eV per atom
# **Size of the total moment**: 1.98 μB per formula unit

Record 4
# Ti4HO2 (PBE-GGA, relaxed)
data_Ti4HO2
_chemical_formula_sum 'Ti16 H4 O8'
_symmetry_space_group_name_H-M 'I -4 2 d'
_symmetry_Int_Tables_number 122
_symmetry_space_group_name_Hall 'I -4 2bw'
_cell_length_a 7.353
_cell_length_b 7.353
_cell_length_c 6.570
_cell_angle_alpha 90.00
_cell_angle_beta 90.00
_cell_angle_gamma 90.00
loop_
_atom_site_label
_atom_site_type_symbol
_atom_site_fract_x
_atom_site_fract_y
_atom_site_fract_z
Ti1 Ti 0.052 0.726 0.366
H1 H 0.000 0.000 0.000
O1 O 0.083 0.250 0.625
# **ρ**: 4198 kg/m³
# **Crystal system**: tetragonal
# **Electronic total energy**: -7.808 eV per atom
# **Size of the total moment**: 0.00 μB per formula unit

Record 5
# Ti2HO (PBE-GGA, relaxed)
data_Ti2HO
_chemical_formula_sum 'Ti6 H3 O3'
_symmetry_space_group_name_H-M 'R -3 m'
_symmetry_Int_Tables_number 166
_symmetry_space_group_name_Hall '-R 3 2"'
_cell_length_a 2.9242
_cell_length_b 2.9242
_cell_length_c 17.9495
_cell_angle_alpha 90.00
_cell_angle_beta 90.00
_cell_angle_gamma 120.00
loop_
_atom_site_label
_atom_site_type_symbol
_atom_site_fract_x
_atom_site_fract_y
_atom_site_fract_z
Ti1 Ti 0.0000 0.0000 0.0922
H1 H 0.0000 0.0000 0.0000
O1 O 0.0000 0.0000 0.5000
# **ρ**: 4225 kg/m³
# **Crystal system**: trigonal
# **Distance to the lowest polymorph of the same formula**: 0.402 eV per atom
# **Size of the total moment**: 0.00 μB per formula unit

Record 6
# TiH5O4 (PBE-GGA, relaxed)
data_TiH5O4
_chemical_formula_sum 'Ti2 H10 O8'
_symmetry_space_group_name_H-M 'P m m n'
_symmetry_Int_Tables_number 59
_cell_length_a 5.304
_cell_length_b 8.095
_cell_length_c 4.668
_cell_angle_alpha 90.00
_cell_angle_beta 90.00
_cell_angle_gamma 90.00
loop_
_symmetry_equiv_pos_as_xyz
'x,y,z'
'-x,-y,-z'
'-x+1/2,-y+1/2,z'
'x+1/2,y+1/2,-z'
'x+1/2,-y,-z'
'-x+1/2,y,z'
'-x,y+1/2,-z'
'x,-y+1/2,z'
loop_
_atom_site_label
_atom_site_type_symbol
_atom_site_fract_x
_atom_site_fract_y
_atom_site_fract_z
Ti1 Ti 0.250 0.250 0.203
H1 H 0.106 0.110 0.691
H2 H 0.250 0.750 0.024
O1 O 0.022 0.750 0.029
O2 O 0.250 0.079 0.561
# **ρ**: 1937 kg/m³
# **Crystal system**: orthorhombic
# **Electronic total energy**: -5.710 eV per atom
# **Size of the total moment**: 1.00 μB per formula unit

Record 7
# Ti2HO (PBE-GGA, relaxed)
data_Ti2HO
_chemical_formula_sum 'Ti8 H4 O4'
_symmetry_space_group_name_H-M 'F m -3 m'
_symmetry_Int_Tables_number 225
_symmetry_space_group_name_Hall '-F 4 2 3'
_cell_length_a 5.328
_cell_length_b 5.328
_cell_length_c 5.328
_cell_angle_alpha 90.00
_cell_angle_beta 90.00
_cell_angle_gamma 90.00
loop_
_atom_site_label
_atom_site_type_symbol
_atom_site_fract_x
_atom_site_fract_y
_atom_site_fract_z
Ti1 Ti 0.250 0.250 0.250
H1 H 0.000 0.000 0.000
O1 O 0.000 0.000 0.500
# **ρ**: 4951 kg/m³
# **Crystal system**: cubic
# **Distance to the lowest polymorph of the same formula**: 0.720 eV per atom
# **Size of the total moment**: 0.00 μB per formula unit

Record 8
# Ti4H3O (PBE-GGA, relaxed)
data_Ti4H3O
_chemical_formula_sum 'Ti8 H6 O2'
_symmetry_space_group_name_H-M 'I 4/m m m'
_symmetry_Int_Tables_number 139
_symmetry_space_group_name_Hall '-I 4 2'
_cell_length_a 4.210
_cell_length_b 4.210
_cell_length_c 8.382
_cell_angle_alpha 90.00
_cell_angle_beta 90.00
_cell_angle_gamma 90.00
loop_
_atom_site_label
_atom_site_type_symbol
_atom_site_fract_x
_atom_site_fract_y
_atom_site_fract_z
Ti1 Ti 0.000 0.000 0.247
Ti2 Ti 0.000 0.500 0.000
H1 H 0.000 0.000 0.500
H2 H 0.000 0.500 0.250
O1 O 0.000 0.000 0.000
# **ρ**: 4706 kg/m³
# **Crystal system**: tetragonal
# **Distance to the lowest polymorph of the same formula**: 0.003 eV per atom
# **Size of the total moment**: 0.00 μB per formula unit

Record 9
# Ti6Tl2HO (PBE-GGA, relaxed)
data_Ti6Tl2HO
_chemical_formula_sum 'Ti24 Tl8 H4 O4'
_symmetry_space_group_name_H-M 'F m -3 m'
_symmetry_Int_Tables_number 225
_symmetry_space_group_name_Hall '-F 4 2 3'
_cell_length_a 8.412
_cell_length_b 8.412
_cell_length_c 8.412
_cell_angle_alpha 90.00
_cell_angle_beta 90.00
_cell_angle_gamma 90.00
loop_
_atom_site_label
_atom_site_type_symbol
_atom_site_fract_x
_atom_site_fract_y
_atom_site_fract_z
Ti1 Ti 0.000 0.000 0.243
Tl1 Tl 0.250 0.250 0.250
H1 H 0.000 0.000 0.000
O1 O 0.000 0.000 0.500
# **ρ**: 7955 kg/m³
# **Crystal system**: cubic
# **Electronic total energy**: -6.666 eV per atom
# **Size of the total moment**: 0.00 μB per formula unit

Copy entry 5 word for word.
# Ti2HO (PBE-GGA, relaxed)
data_Ti2HO
_chemical_formula_sum 'Ti6 H3 O3'
_symmetry_space_group_name_H-M 'R -3 m'
_symmetry_Int_Tables_number 166
_symmetry_space_group_name_Hall '-R 3 2"'
_cell_length_a 2.9242
_cell_length_b 2.9242
_cell_length_c 17.9495
_cell_angle_alpha 90.00
_cell_angle_beta 90.00
_cell_angle_gamma 120.00
loop_
_atom_site_label
_atom_site_type_symbol
_atom_site_fract_x
_atom_site_fract_y
_atom_site_fract_z
Ti1 Ti 0.0000 0.0000 0.0922
H1 H 0.0000 0.0000 0.0000
O1 O 0.0000 0.0000 0.5000
# **ρ**: 4225 kg/m³
# **Crystal system**: trigonal
# **Distance to the lowest polymorph of the same formula**: 0.402 eV per atom
# **Size of the total moment**: 0.00 μB per formula unit